{
  "formula": "Li2NiRu",
  "functional": "PBE",
  "state": "relaxed",
  "lattice": [[-2.1510, -3.9529, -1.9650], [4.7251, -0.2571, 1.3117], [-0.6574, -0.7467, 2.2218]],
  "species": ["Li", "Li", "Ni", "Ru"],
  "fractional_positions": [[0.0000, 0.0000, 0.0000], [0.5000, 0.5000, 0.0000], [0.5000, 0.0000, 0.5000], [0.0000, 0.5000, 0.5000]],
  "formation_energy_ev_per_atom": 0.180,
  "space_group": "Cmmm"
}

***

{
  "formula": "VFeTe3",
  "functional": "PBE",
  "state": "relaxed",
  "lattice": [[-2.0607, 0.9383, -4.5480], [-3.8086, -3.1883, 1.0679], [-2.6569, 3.8426, 1.9966]],
  "species": ["Te", "Te", "Te", "Fe", "V"],
  "fractional_positions": [[0.0000, 0.0000, 0.5000], [0.0000, 0.5000, 0.0000], [0.5000, 0.0000, 0.0000], [0.0000, 0.0000, 0.0000], [0.5000, 0.5000, 0.5000]],
  "e_form_raw_mev_per_atom": 702,
  "space_group": "Pm-3m"
}

***

{
  "formula": "CaPuSi4",
  "functional": "PBE",
  "state": "relaxed",
  "lattice": [[-1.4797, -1.5356, 4.8677], [3.5381, -2.2461, 3.2679], [1.7356, 2.6527, 4.2654]],
  "species": ["Ca", "Si", "Si", "Pu", "Si", "Si"],
  "fractional_positions": [[0.0000, 0.0000, 0.0000], [0.1246, 0.6251, 0.6251], [0.6251, 0.6251, 0.1246], [0.2500, 0.2500, 0.2500], [0.6251, 0.6251, 0.6251], [0.6251, 0.1246, 0.6251]],
  "e_form_raw_mev_per_atom": -286,
  "space_group": "F-43m"
}

***

{
  "formula": "Ti11Zn9Fe4",
  "functional": "PBE",
  "state": "relaxed",
  "lattice": [[-2.8493, -0.0550, -0.7671], [2.9732, -0.4805, -11.0092], [-1.0499, -10.3732, 4.6442]],
  "species": ["Zn", "Zn", "Ti", "Zn", "Fe", "Fe", "Zn", "Fe", "Ti", "Zn", "Ti", "Ti", "Zn", "Zn", "Ti", "Zn", "Ti", "Fe", "Ti", "Ti", "Ti", "Ti", "Ti", "Zn"],
  "fractional_positions": [[0.5000, 0.9228, 0.7831], [0.5000, 0.2169, 0.0772], [0.0000, 0.3082, 0.3082], [0.5000, 0.3631, 0.8430], [0.5000, 0.7541, 0.5483], [0.5000, 0.4517, 0.2459], [0.5000, 0.6369, 0.1570], [0.5000, 0.5483, 0.7541], [0.0000, 0.0000, 0.0000], [0.5000, 0.1570, 0.6369], [0.0000, 0.6918, 0.6918], [0.0000, 0.9273, 0.5856], [0.5000, 0.0772, 0.2169], [0.5000, 0.7831, 0.9228], [0.0000, 0.3698, 0.6302], [0.5000, 0.5000, 0.5000], [0.0000, 0.0727, 0.4144], [0.5000, 0.2459, 0.4517], [0.0000, 0.5856, 0.9273], [0.0000, 0.4144, 0.0727], [0.0000, 0.8462, 0.1538], [0.0000, 0.6302, 0.3698], [0.0000, 0.1538, 0.8462], [0.5000, 0.8430, 0.3631]],
  "formation_energy_ev_per_atom": -0.248,
  "space_group": "Cmmm"
}

***

{
  "formula": "Hf6In2H",
  "functional": "PBE",
  "state": "relaxed",
  "lattice": [[2.2145, -2.5590, 5.2827], [2.8986, -5.5609, -0.1836], [6.1897, -0.3444, 0.9637]],
  "species": ["Hf", "Hf", "In", "Hf", "In", "Hf", "Hf", "Hf", "H"],
  "fractional_positions": [[0.2489, 0.7510, 0.2490], [0.2490, 0.7511, 0.7510], [0.7500, 0.7500, 0.7500], [0.7511, 0.2490, 0.7510], [0.2500, 0.2500, 0.2500], [0.7510, 0.2489, 0.2490], [0.7511, 0.7511, 0.2489], [0.2489, 0.2489, 0.7511], [0.5000, 0.5000, 0.5000]],
  "final_energy_ev_per_atom": -7.820,
  "space_group": "Fm-3m"
}

***

{
  "formula": "Na4Tb3InS8",
  "functional": "PBE",
  "state": "relaxed",
  "lattice": [[7.9287, 0.0000, 0.0000], [0.0000, 8.1287, 0.1310], [-3.9643, -3.9600, 5.6100]],
  "species": ["Na", "Na", "S", "S", "Na", "S", "S", "In", "Tb", "Tb", "S", "S", "S", "S", "Tb", "Na"],
  "fractional_positions": [[0.5000, 0.0000, 0.5000], [0.5000, 0.0000, 0.0000], [0.2389, 0.7268, 0.9881], [0.2508, 0.2732, 0.0119], [0.0000, 0.0000, 0.0000], [0.2576, 0.2729, 0.5151], [0.7609, 0.2731, 0.5218], [0.0000, 0.5000, 0.0000], [0.5000, 0.5000, 0.5000], [0.5000, 0.5000, 0.0000], [0.7424, 0.7271, 0.4849], [0.7611, 0.2732, 0.0119], [0.2391, 0.7269, 0.4782], [0.7492, 0.7268, 0.9881], [0.0000, 0.5000, 0.5000], [0.0000, 0.0000, 0.5000]],
  "e_form_raw_mev_per_atom": -1582,
  "space_group": "R-3m"
}

***

{
  "formula": "La3Tb6YHo2",
  "functional": "PBE",
  "state": "relaxed",
  "lattice": [[6.2448, -0.0025, 0.0021], [-3.1230, 5.4078, 0.0021], [-1.0461, -1.8112, 11.7435]],
  "species": ["La", "Ho", "Ho", "Tb", "Tb", "Tb", "Tb", "Y", "La", "Tb", "La", "Tb"],
  "fractional_positions": [[0.5000, 0.5000, 0.5000], [0.6667, 0.3333, 0.0000], [0.3333, 0.6667, 0.0000], [0.5846, 0.9188, 0.7559], [0.7470, 0.7470, 0.2441], [0.4154, 0.0812, 0.2441], [0.0812, 0.4154, 0.2441], [0.0000, 0.0000, 0.0000], [0.8332, 0.1668, 0.5000], [0.9188, 0.5846, 0.7559], [0.1668, 0.8332, 0.5000], [0.2530, 0.2530, 0.7559]],
  "formation_energy_ev_per_atom": 0.022,
  "space_group": "C2/m"
}

***

{
  "formula": "PaCdGa6",
  "functional": "PBE",
  "state": "relaxed",
  "lattice": [[4.4911, 0.0000, 0.0000], [0.0000, 6.0852, -1.1661], [0.0000, -1.0886, 6.0996]],
  "species": ["Pa", "Ga", "Cd", "Ga", "Ga", "Ga", "Ga", "Ga"],
  "fractional_positions": [[0.5000, 0.5000, 0.5000], [0.5000, 0.5000, 0.0000], [0.5000, 0.0000, 0.0000], [0.0000, 0.7858, 0.7858], [0.0000, 0.7077, 0.2923], [0.0000, 0.2142, 0.2142], [0.5000, 0.0000, 0.5000], [0.0000, 0.2923, 0.7077]],
  "formation_energy_ev_per_atom": -0.103,
  "space_group": "Cmmm"
}

***

{
  "formula": "Mg3H2Ir3",
  "functional": "PBE",
  "state": "relaxed",
  "lattice": [[3.1688, 0.0000, 0.0001], [0.0001, 4.3199, 1.4407], [-0.0001, -0.0151, 7.1270]],
  "species": ["Mg", "Mg", "H", "H", "Ir", "Mg", "Ir", "Ir"],
  "fractional_positions": [[0.9193, 0.9364, 0.1707], [0.9194, 0.5993, 0.8435], [0.4198, 0.0835, 0.3348], [0.4200, 0.9140, 0.6776], [0.4195, 0.4542, 0.1647], [0.9196, 0.2381, 0.5074], [0.4196, 0.7108, 0.5069], [0.4195, 0.1105, 0.8501]],
  "final_energy_ev_per_atom": -5.067,
  "space_group": "Pm"
}

***

{
  "formula": "CdFeP2S",
  "functional": "PBE",
  "state": "relaxed",
  "lattice": [[-3.1657, 0.9967, 2.5377], [-0.0292, -3.9009, 1.4957], [3.4838, 1.4256, 3.7861]],
  "species": ["Fe", "Cd", "S", "P", "P"],
  "fractional_positions": [[0.0000, 0.0000, 0.0000], [0.5000, 0.5000, 0.5000], [0.0000, 0.0000, 0.5000], [0.5000, 0.0000, 0.0000], [0.0000, 0.5000, 0.0000]],
  "e_form_raw_mev_per_atom": 299,
  "space_group": "P4/mmm"
}

***

{
  "formula": "V2As2Pb",
  "functional": "PBE",
  "state": "relaxed",
  "lattice": [[-0.0760, -3.5325, -1.4853], [3.0863, -0.9370, 2.0706], [-2.5243, -4.2835, 5.3714]],
  "species": ["As", "Pb", "As", "V", "V"],
  "fractional_positions": [[0.3698, 0.3698, 0.2604], [0.0000, 0.0000, 0.0000], [0.6302, 0.6302, 0.7396], [0.2500, 0.7500, 0.5000], [0.7500, 0.2500, 0.5000]],
  "formation_energy_ev_per_atom": -0.105,
  "space_group": "I4/mmm"
}

***

{
  "formula": "BaInSb2Te",
  "functional": "PBE",
  "state": "relaxed",
  "lattice": [[5.6445, 0.0000, 0.0000], [0.0000, 5.6445, 0.0000], [0.0000, 0.0000, 6.0957]],
  "species": ["Sb", "Sb", "Ba", "In", "Te"],
  "fractional_positions": [[0.0000, 0.5000, 0.0000], [0.5000, 0.0000, 0.0000], [0.5000, 0.5000, 0.5000], [0.0000, 0.0000, 0.0000], [0.0000, 0.0000, 0.5000]],
  "e_form_raw_mev_per_atom": -154,
  "space_group": "P4/mmm"
}

***

{
  "formula": "LiHoLuSc",
  "functional": "PBE",
  "state": "relaxed",
  "lattice": [[-0.5179, 4.7760, -2.1849], [-2.5517, 0.5403, -4.5879], [-4.7267, 2.3436, -0.1305]],
  "species": ["Ho", "Sc", "Li", "Lu"],
  "fractional_positions": [[0.2500, 0.2500, 0.2500], [0.5000, 0.5000, 0.5000], [0.0000, 0.0000, 0.0000], [0.7500, 0.7500, 0.7500]],
  "formation_energy_ev_per_atom": 0.163,
  "space_group": "F-43m"
}

***

{
  "formula": "CsTbDy4S8",
  "functional": "PBE",
  "state": "relaxed",
  "lattice": [[-3.8529, 3.7051, 6.3860], [3.2261, -0.4919, 7.6618], [3.3851, 6.7845, 3.5361]],
  "species": ["S", "S", "Cs", "Tb", "S", "Dy", "Dy", "S", "S", "S", "Dy", "Dy", "S", "S"],
  "fractional_positions": [[0.7567, 0.7567, 0.7299], [0.7568, 0.7568, 0.2564], [0.3730, 0.3730, 0.8811], [0.0051, 0.0051, 0.9846], [0.2297, 0.2297, 0.7260], [0.6251, 0.6251, 0.1246], [0.0042, 0.0042, 0.5049], [0.2300, 0.7568, 0.2564], [0.8145, 0.2297, 0.7260], [0.2274, 0.2274, 0.3179], [0.4867, 0.0042, 0.5049], [0.0042, 0.4867, 0.5049], [0.7568, 0.2300, 0.2564], [0.2297, 0.8145, 0.7260]],
  "e_form_raw_mev_per_atom": -1864,
  "space_group": "R3m"
}

***

{
  "formula": "Mg2ZrTa",
  "functional": "PBE",
  "state": "relaxed",
  "lattice": [[4.5946, 0.0000, 0.0000], [0.0000, 4.2174, 0.0000], [0.0000, 0.0000, 4.2174]],
  "species": ["Mg", "Zr", "Mg", "Ta"],
  "fractional_positions": [[0.0000, 0.5000, 0.5000], [0.5000, 0.0000, 0.5000], [0.0000, 0.0000, 0.0000], [0.5000, 0.5000, 0.0000]],
  "formation_energy_ev_per_atom": 0.262,
  "space_group": "P4/mmm"
}

***

{
  "formula": "Cd4Bi5Sb",
  "functional": "PBE",
  "state": "relaxed",
  "lattice": [[7.5614, 0.0000, 0.0000], [0.0000, 9.9506, 0.0000], [0.0000, 0.0000, 9.5200]],
  "species": ["Cd", "Bi", "Bi", "Cd", "Bi", "Bi", "Bi", "Cd", "Sb", "Cd", "Cd", "Bi", "Sb", "Cd", "Cd", "Bi", "Bi", "Bi", "Cd", "Bi"],
  "fractional_positions": [[0.4901, 0.7602, 0.0000], [0.2452, 0.7511, 0.2487], [0.7548, 0.7489, 0.7487], [0.4901, 0.2398, 0.0000], [0.7548, 0.2511, 0.2513], [0.7548, 0.7489, 0.2513], [0.2452, 0.7511, 0.7513], [0.5099, 0.2602, 0.5000], [0.7465, 0.0000, 0.0000], [0.0028, 0.5000, 0.7447], [0.9972, 0.0000, 0.2447], [0.2452, 0.2489, 0.2487], [0.2535, 0.5000, 0.5000], [0.5099, 0.7398, 0.5000], [0.0028, 0.5000, 0.2553], [0.2452, 0.2489, 0.7513], [0.2529, 0.0000, 0.5000], [0.7548, 0.2511, 0.7487], [0.9972, 0.0000, 0.7553], [0.7471, 0.5000, 0.0000]],
  "e_form_raw_mev_per_atom": 154,
  "space_group": "Pmmn"
}

***

{
  "formula": "ZrTe2I8",
  "functional": "PBE",
  "state": "relaxed",
  "lattice": [[-2.0253, 5.7800, -8.5672], [-0.9560, -5.2298, -6.0323], [-7.7433, 2.1038, 0.5198]],
  "species": ["I", "I", "I", "Zr", "Te", "I", "Te", "I", "I", "I", "I"],
  "fractional_positions": [[0.1448, 0.9156, 0.2533], [0.8552, 0.7467, 0.0844], [0.8552, 0.0844, 0.7467], [0.0000, 0.0000, 0.0000], [0.5792, 0.0767, 0.0767], [0.3407, 0.3156, 0.3156], [0.4208, 0.9233, 0.9233], [0.1448, 0.2533, 0.9156], [0.7748, 0.2658, 0.2658], [0.6593, 0.6844, 0.6844], [0.2252, 0.7342, 0.7342]],
  "e_form_raw_mev_per_atom": -385,
  "space_group": "C2/m"
}

***

{
  "formula": "ZnNiIr2",
  "functional": "PBE",
  "state": "relaxed",
  "lattice": [[-4.5333, -1.8006, -1.6425], [1.7024, -1.6159, 4.5806], [-1.7801, 0.9857, 1.7545]],
  "species": ["Zn", "Ir", "Ni", "Ir"],
  "fractional_positions": [[0.0000, 0.5000, 0.5000], [0.5000, 0.5000, 0.0000], [0.5000, 0.0000, 0.5000], [0.0000, 0.0000, 0.0000]],
  "formation_energy_ev_per_atom": 0.055,
  "space_group": "C2/m"
}

***

{
  "formula": "Cs2AcCd2S4",
  "functional": "PBE",
  "state": "relaxed",
  "lattice": [[4.3065, 0.0000, 0.0000], [0.0000, 8.6190, 0.1039], [-2.1533, -3.3123, 7.8294]],
  "species": ["S", "Cs", "Ac", "Cd", "Cs", "Cd", "S", "S", "S"],
  "fractional_positions": [[0.8103, 0.7999, 0.6206], [0.1286, 0.5566, 0.2571], [0.0000, 0.0000, 0.0000], [0.6873, 0.0126, 0.3747], [0.8714, 0.4434, 0.7429], [0.3127, 0.9874, 0.6253], [0.4673, 0.2115, 0.9346], [0.5327, 0.7885, 0.0654], [0.1897, 0.2001, 0.3794]],
  "e_form_raw_mev_per_atom": -1153,
  "space_group": "C2/m"
}

***

{
  "formula": "RbNaLi2Cd",
  "functional": "PBE",
  "state": "relaxed",
  "lattice": [[5.5560, 0.0000, 0.0000], [0.0000, 5.5560, 0.0000], [0.0000, 0.0000, 6.0035]],
  "species": ["Li", "Li", "Cd", "Na", "Rb"],
  "fractional_positions": [[0.0000, 0.5000, 0.0000], [0.5000, 0.0000, 0.0000], [0.0000, 0.0000, 0.0000], [0.0000, 0.0000, 0.5000], [0.5000, 0.5000, 0.5000]],
  "formation_energy_ev_per_atom": 0.070,
  "space_group": "P4/mmm"
}

***

{
  "formula": "SrCr2As2",
  "functional": "PBE",
  "state": "relaxed",
  "lattice": [[-0.3806, 2.3547, -4.1114], [-4.1536, -2.1501, -0.8469], [-4.2504, 3.1695, -0.5389]],
  "species": ["Cr", "Cr", "As", "As", "Sr"],
  "fractional_positions": [[0.6125, 0.6125, 0.7750], [0.3875, 0.3875, 0.2250], [0.7500, 0.2500, 0.5000], [0.2500, 0.7500, 0.5000], [0.0000, 0.0000, 0.0000]],
  "formation_energy_ev_per_atom": -0.251,
  "space_group": "I4/mmm"
}

***

{
  "formula": "TaCoAs2Se",
  "functional": "PBE",
  "state": "relaxed",
  "lattice": [[-3.1180, 0.3031, 3.9011], [-3.9007, -0.6340, -3.0684], [0.3050, -4.8986, 0.6244]],
  "species": ["Ta", "Se", "As", "As", "Co"],
  "fractional_positions": [[0.0000, 0.0000, 0.0000], [0.0000, 0.0000, 0.5000], [0.0000, 0.5000, 0.0000], [0.5000, 0.0000, 0.0000], [0.5000, 0.5000, 0.5000]],
  "e_form_raw_mev_per_atom": 773,
  "space_group": "P4/mmm"
}

***

{
  "formula": "Ac3ScTl4Se8",
  "functional": "PBE",
  "state": "relaxed",
  "lattice": [[8.8631, 0.0000, 0.0000], [0.0000, 9.2653, 0.2747], [-4.4316, -4.4277, 6.2689]],
  "species": ["Se", "Ac", "Sc", "Se", "Ac", "Tl", "Se", "Tl", "Ac", "Se", "Se", "Se", "Tl", "Tl", "Se", "Se"],
  "fractional_positions": [[0.7410, 0.7226, 0.4819], [0.5000, 0.5000, 0.0000], [0.0000, 0.5000, 0.0000], [0.2221, 0.7074, 0.4443], [0.5000, 0.5000, 0.5000], [0.5000, 0.0000, 0.5000], [0.7781, 0.2928, 0.0146], [0.0000, 0.0000, 0.0000], [0.0000, 0.5000, 0.5000], [0.7635, 0.7072, 0.9854], [0.2219, 0.7072, 0.9854], [0.2590, 0.2774, 0.5181], [0.5000, 0.0000, 0.0000], [0.0000, 0.0000, 0.5000], [0.7779, 0.2926, 0.5557], [0.2365, 0.2928, 0.0146]],
  "e_form_raw_mev_per_atom": -1359,
  "space_group": "R-3m"
}

***

{
  "formula": "Sb3PdSe",
  "functional": "PBE",
  "state": "relaxed",
  "lattice": [[5.2148, 0.0000, 0.0000], [0.0000, 5.2148, 0.0000], [0.0000, 0.0000, 5.2148]],
  "species": ["Sb", "Sb", "Se", "Sb", "Pd"],
  "fractional_positions": [[0.0000, 0.0000, 0.5000], [0.0000, 0.5000, 0.0000], [0.5000, 0.5000, 0.5000], [0.5000, 0.0000, 0.0000], [0.0000, 0.0000, 0.0000]],
  "e_form_raw_mev_per_atom": 417,
  "space_group": "Pm-3m"
}